1.
Nd7Tl3C2 | PBE | optimized geometry

Structure (POSCAR):
```
Nd7Tl3C2
1.0
5.119 0.000 0.000
0.000 5.060 -0.987
0.000 -0.140 12.745
Nd Tl C
7 3 2
Direct
0.000 0.399 0.798
0.000 0.798 0.596
0.000 0.000 0.000
0.000 0.601 0.202
0.500 0.099 0.198
0.500 0.901 0.802
0.000 0.202 0.404
0.500 0.500 0.000
0.500 0.698 0.396
0.500 0.302 0.604
0.000 0.894 0.789
0.000 0.106 0.211
```

Results
For the total magnetization, the calculation gives 0.00 Bohr magnetons per cell. For the calculated total energy, the calculation gives -5.203 eV per atom. Its formation energy from the elements is -293 meV per atom.

=====

2.
Nd6Tl2C | PBE | optimized geometry

Structure (POSCAR):
```
Nd6Tl2C
1.0
7.192 0.000 -0.192
0.000 7.197 0.000
0.268 0.000 10.170
Nd Tl C
12 4 2
Direct
0.999 0.000 0.255
0.755 0.755 0.500
0.745 0.745 0.000
0.755 0.245 0.500
0.745 0.255 0.000
0.501 0.500 0.245
0.001 0.000 0.745
0.245 0.245 0.500
0.255 0.255 0.000
0.245 0.755 0.500
0.255 0.745 0.000
0.499 0.500 0.755
0.000 0.500 0.750
0.500 0.000 0.750
0.500 0.000 0.250
0.000 0.500 0.250
0.500 0.500 0.000
0.000 0.000 0.500
```

Results
For the total magnetization, the calculation gives 1.46 Bohr magnetons per cell. For the calculated total energy, the calculation gives -4.992 eV per atom. Its formation energy from the elements is -262 meV per atom.

=====

3.
NdTlC | PBE | optimized geometry

Structure (POSCAR):
```
NdTlC
1.0
-1.408 3.381 0.714
-2.700 -2.970 -1.008
0.762 -1.920 10.589
Nd Tl C
2 2 2
Direct
0.102 0.204 0.859
0.898 0.796 0.141
0.297 0.594 0.390
0.703 0.406 0.610
0.585 0.170 0.034
0.415 0.830 0.966
```

Results
For the total magnetization, the calculation gives 0.00 Bohr magnetons per cell. For the calculated total energy, the calculation gives -5.642 eV per atom. Its formation energy from the elements is -189 meV per atom.

=====

4.
NdTlC | PBE | optimized geometry

Structure (POSCAR):
```
NdTlC
1.0
5.028 0.000 0.000
0.000 4.174 0.000
-2.514 -2.087 7.245
Tl C Nd
2 2 2
Direct
0.652 0.152 0.303
0.348 0.848 0.697
0.629 0.500 0.000
0.371 0.500 0.000
0.125 0.625 0.251
0.875 0.375 0.749
```

Results
For the total magnetization, the calculation gives 0.00 Bohr magnetons per cell. For the calculated total energy, the calculation gives -5.211 eV per atom. Its formation energy from the elements is 241 meV per atom.

=====

5.
Nd6Tl2C | PBE | optimized geometry

Structure (POSCAR):
```
Nd6Tl2C
1.0
3.693 0.000 0.000
0.000 9.047 0.000
0.000 -4.524 7.807
Nd Tl C
6 2 1
Direct
0.500 0.591 0.000
0.500 0.407 0.407
0.500 0.000 0.593
0.000 0.217 0.000
0.000 0.784 0.784
0.000 0.000 0.216
0.000 0.333 0.666
0.000 0.667 0.334
0.500 0.002 0.000
```

Results
For the total magnetization, the calculation gives 0.00 Bohr magnetons per cell. For the calculated total energy, the calculation gives -4.836 eV per atom. Its formation energy from the elements is -107 meV per atom.

=====

6.
Nd6Tl3C | PBE | optimized geometry

Structure (POSCAR):
```
Nd6Tl3C
1.0
6.670 0.000 0.268
0.000 8.527 0.000
0.460 0.000 10.710
Nd Tl C
12 6 2
Direct
0.669 0.140 0.947
0.605 0.220 0.559
0.640 0.454 0.277
0.360 0.546 0.723
0.395 0.780 0.441
0.331 0.860 0.053
0.169 0.360 0.447
0.105 0.280 0.059
0.140 0.046 0.777
0.860 0.954 0.223
0.895 0.720 0.941
0.831 0.640 0.553
0.589 0.884 0.736
0.500 0.500 0.000
0.411 0.116 0.264
0.089 0.616 0.236
0.000 0.000 0.500
0.911 0.384 0.764
0.500 0.500 0.500
0.000 0.000 0.000
```

Results
For the total magnetization, the calculation gives 0.00 Bohr magnetons per cell. For the calculated total energy, the calculation gives -4.724 eV per atom. Its formation energy from the elements is -231 meV per atom.